1.
# TaSiS2Cl

A geometry-optimized TaSiS2Cl structure (PBE, Alexandria via LeMat-Bulk).

Output
Space group = P4/mmm
Distance to the lowest polymorph of the same formula = 0.6585 eV/atom
E_form (uncorrected) = 703 meV per atom
V = 98.3 Å³/f.u.

Structure (POSCAR):
```
TaSiS2Cl
1.0
-1.8603 3.9742 -0.1350
-4.5576 -2.1594 -0.7637
-0.6522 -0.1579 4.3385
Si S Ta Cl
1 2 1 1
Cartesian
0.0000 0.0000 0.0000
-0.3261 -0.0790 2.1693
-0.9302 1.9871 -0.0675
-2.2788 -1.0797 -0.3819
-3.5351 0.8284 1.7199
```

=====

2.
# TaSiSCl2

A geometry-optimized TaSiSCl2 structure (PBE, Alexandria via LeMat-Bulk).

Output
Space group = P4/mmm
Distance to the lowest polymorph of the same formula = 0.0000 eV/atom
E_form (uncorrected) = 96 meV per atom
V = 113.3 Å³/f.u.

Structure (POSCAR):
```
TaSiSCl2
1.0
-3.1469 0.2679 -3.6628
3.0727 -2.4497 -2.8191
-2.0153 -4.1695 1.4266
Cl S Ta Si
2 1 1 1
Cartesian
1.5364 -1.2249 -1.4096
-1.5734 0.1339 -1.8314
-1.0077 -2.0847 0.7133
0.0000 0.0000 0.0000
-1.0447 -3.1757 -2.5277
```